Entry 1:
DFT (PBE) results for a geometry-optimized In2SiPt structure.

Lattice parameters (Å, degrees): 8.3261 8.3261 8.3261 23.61 23.61 23.61
Element x y z (fractional)
In (0.9970, 0.9970, 0.9970)
In (0.5030, 0.5030, 0.5030)
Pt (0.2500, 0.2500, 0.2500)
Si (0.7500, 0.7500, 0.7500)

Output
For the uncorrected formation energy, the calculation gives 0.25 eV/f.u. The total moment comes out at 0.00 μB/atom. Its space group is R-3m, No. 166. For the density, the calculation gives 9.25 Mg/m³.

Entry 2:
DFT (PBE) results for a geometry-optimized Tl2In2TeO6 structure.

Lattice parameters (Å, degrees): 5.8229 5.8229 6.9348 98.73 98.73 119.62
Element x y z (fractional)
O (0.0556, 0.3914, 0.6677)
O (0.7287, 0.7287, 0.6643)
O (0.2713, 0.2713, 0.3357)
O (0.9444, 0.6086, 0.3323)
O (0.3914, 0.0556, 0.6677)
O (0.6086, 0.9444, 0.3323)
Te (0.0000, 0.0000, 0.5000)
In (0.6657, 0.3343, 0.5000)
In (0.3343, 0.6657, 0.5000)
Tl (0.1714, 0.8286, 0.0000)
Tl (0.8286, 0.1714, 0.0000)

Output
For the uncorrected formation energy, the calculation gives -11.85 eV/f.u. The total moment comes out at 0.00 μB/atom. Its space group is C2/m, No. 12. For the density, the calculation gives 7.35 Mg/m³.

Entry 3:
DFT (PBE) results for a geometry-optimized Cd2InPd2 structure.

Lattice parameters (Å, degrees): 4.2924 4.8173 11.6324 59.44 79.37 63.54
Element x y z (fractional)
Cd (0.8600, 0.7214, 0.0588)
Cd (0.3597, 0.2214, 0.5588)
Cd (0.1400, 0.2786, 0.9412)
Cd (0.6403, 0.7786, 0.4412)
In (0.7498, 0.2500, 0.7500)
In (0.2502, 0.7500, 0.2500)
Pd (0.4405, 0.7710, 0.8476)
Pd (0.0591, 0.7290, 0.6524)
Pd (0.5595, 0.2290, 0.1524)
Pd (0.9409, 0.2710, 0.3476)

Output
The value obtained for the formation energy is -33.4 kJ per mole of atoms. The value obtained for the distance to the lowest polymorph of the same formula is 2 meV/atom. The total moment comes out at 0.00 μB/atom. Its space group is C2/m, No. 12. For the density, the calculation gives 9.91 Mg/m³.

Entry 4:
DFT (PBE) results for a geometry-optimized Cd3PdPt structure.

Lattice parameters (Å, degrees): 5.1298 5.1298 5.1298 90.00 90.00 90.00
Element x y z (fractional)
Cd (0.5000, 0.0000, 0.0000)
Cd (0.0000, 0.0000, 0.5000)
Cd (0.0000, 0.5000, 0.0000)
Pt (0.0000, 0.0000, 0.0000)
Pd (0.5000, 0.5000, 0.5000)

Output
The value obtained for the formation energy is 27.9 kJ per mole of atoms. The value obtained for the distance to the lowest polymorph of the same formula is 580 meV/atom. The total moment comes out at 0.00 μB/atom. Its space group is Pm-3m, No. 221. For the density, the calculation gives 7.86 Mg/m³.

Entry 5:
DFT (PBE) results for a geometry-optimized LiCd3Au6 structure.

Lattice parameters (Å, degrees): 5.0138 7.9073 10.6222 113.58 73.80 100.94
Element x y z (fractional)
Au (0.2472, 0.1479, 0.2077)
Au (0.2533, 0.8574, 0.3143)
Au (0.7467, 0.1426, 0.6857)
Au (0.7553, 0.5527, 0.9028)
Au (0.7548, 0.9512, 0.1104)
Au (0.7528, 0.8521, 0.7923)
Au (0.7505, 0.3438, 0.3037)
Au (0.2452, 0.0488, 0.8896)
Au (0.2447, 0.4473, 0.0972)
Au (0.2495, 0.6562, 0.6963)
Au (0.7416, 0.7634, 0.4983)
Au (0.2584, 0.2366, 0.5017)
Li (0.2377, 0.9464, 0.6019)
Li (0.7623, 0.0536, 0.3981)
Cd (0.2653, 0.7632, 0.0017)
Cd (0.2465, 0.3449, 0.7958)
Cd (0.2480, 0.5478, 0.3989)
Cd (0.7535, 0.6551, 0.2042)
Cd (0.7520, 0.4522, 0.6011)
Cd (0.7347, 0.2368, 0.9983)

Output
The value obtained for the formation energy is -22.1 kJ per mole of atoms. The value obtained for the distance to the lowest polymorph of the same formula is 0 meV/atom. The total moment comes out at 0.00 μB/atom. Its space group is P-1, No. 2. For the density, the calculation gives 13.73 Mg/m³.

Entry 6:
DFT (PBE) results for a geometry-optimized HfTi2Cd2 structure.

Lattice parameters (Å, degrees): 3.0070 2.9925 11.4394 82.48 90.00 90.00
Element x y z (fractional)
Cd (0.0000, 0.1918, 0.6164)
Cd (0.0000, 0.8082, 0.3836)
Hf (0.0000, 0.0000, 0.0000)
Ti (0.5000, 0.4066, 0.1869)
Ti (0.5000, 0.5934, 0.8131)

Output
The value obtained for the formation energy is 2.5 kJ per mole of atoms. The value obtained for the distance to the lowest polymorph of the same formula is 0 meV/atom. The total moment comes out at 0.00 μB/atom. Its space group is Cmmm, No. 65. For the density, the calculation gives 8.12 Mg/m³.

Entry 7:
DFT (PBE) results for a geometry-optimized HfInSb3 structure.

Lattice parameters (Å, degrees): 5.4438 5.4438 5.4438 90.00 90.00 90.00
Element x y z (fractional)
Sb (0.5000, 0.0000, 0.0000)
Sb (0.0000, 0.0000, 0.5000)
Sb (0.0000, 0.5000, 0.0000)
In (0.0000, 0.0000, 0.0000)
Hf (0.5000, 0.5000, 0.5000)

Output
For the uncorrected formation energy, the calculation gives 5.36 eV/f.u. The value obtained for the distance to the lowest polymorph of the same formula is 898 meV/atom. The total moment comes out at 0.00 μB/atom. Its space group is Pm-3m, No. 221. For the density, the calculation gives 6.78 Mg/m³.

Entry 8:
DFT (PBE) results for a geometry-optimized ThPt4 structure.

Lattice parameters (Å, degrees): 5.1792 5.1792 5.1792 90.00 90.00 90.00
Element x y z (fractional)
Pt (0.0000, 0.0000, 0.0000)
Pt (0.5000, 0.5000, 0.0000)
Pt (0.0000, 0.5000, 0.5000)
Pt (0.5000, 0.0000, 0.5000)
Th (0.5000, 0.5000, 0.5000)

Output
The value obtained for the formation energy is 108.4 kJ per mole of atoms. The total moment comes out at 0.00 μB/atom. Its space group is Pm-3m, No. 221. For the density, the calculation gives 12.10 Mg/m³.

Entry 9:
DFT (PBE) results for a geometry-optimized Tm4TeS5 structure.

Lattice parameters (Å, degrees): 3.9742 8.3136 8.7593 106.31 103.11 90.00
Element x y z (fractional)
Tm (0.3121, 0.8690, 0.6241)
Tm (0.9948, 0.7201, 0.9896)
Tm (0.6879, 0.1310, 0.3759)
Tm (0.0052, 0.2799, 0.0104)
S (0.8401, 0.1179, 0.6803)
S (0.1625, 0.3228, 0.3250)
S (0.5000, 0.5000, 0.0000)
S (0.1599, 0.8821, 0.3197)
S (0.8375, 0.6772, 0.6750)
Te (0.5000, 0.0000, 0.0000)

Output
For the uncorrected formation energy, the calculation gives -18.48 eV/f.u. The total moment comes out at 0.00 μB/atom. Its space group is C2/m, No. 12. For the density, the calculation gives 5.93 Mg/m³.

Entry 10:
DFT (PBE) results for a geometry-optimized LaPmSi4 structure.

Lattice parameters (Å, degrees): 4.3082 4.3081 7.4712 106.76 106.76 90.00
Element x y z (fractional)
Si (0.5864, 0.5864, 0.1728)
Si (0.4136, 0.4136, 0.8272)
Si (0.8350, 0.3350, 0.6701)
Si (0.6650, 0.1650, 0.3299)
Pm (0.2500, 0.7500, 0.5000)
La (0.0000, 0.0000, 0.0000)

Output
For the uncorrected formation energy, the calculation gives -3.80 eV/f.u. The value obtained for the distance to the lowest polymorph of the same formula is 0 meV/atom. The total moment comes out at 0.00 μB/atom. Its space group is I-4m2, No. 119. For the density, the calculation gives 5.20 Mg/m³.

Entry 11:
DFT (PBE) results for a geometry-optimized SmY2Er2 structure.

Lattice parameters (Å, degrees): 9.3593 9.3593 3.7180 90.00 90.00 90.00
Element x y z (fractional)
Y (0.1726, 0.3274, 0.5000)
Y (0.8274, 0.6726, 0.5000)
Y (0.6726, 0.1726, 0.5000)
Y (0.3274, 0.8274, 0.5000)
Er (0.3753, 0.1247, 0.0000)
Er (0.6247, 0.8753, 0.0000)
Er (0.1247, 0.6247, 0.0000)
Er (0.8753, 0.3753, 0.0000)
Sm (0.5000, 0.5000, 0.0000)
Sm (0.0000, 0.0000, 0.0000)

Output
The value obtained for the formation energy is 8.3 kJ per mole of atoms. The value obtained for the distance to the lowest polymorph of the same formula is 0 meV/atom. The total moment comes out at 0.00 μB/atom. Its space group is P4/mbm, No. 127. For the density, the calculation gives 6.76 Mg/m³.

Entry 12:
DFT (PBE) results for a geometry-optimized Hf8TiAl2 structure.

Lattice parameters (Å, degrees): 5.1336 7.7003 7.7003 120.28 103.18 103.18
Element x y z (fractional)
Hf (0.8474, 0.9014, 0.6744)
Hf (0.8474, 0.6744, 0.9014)
Hf (0.1526, 0.3256, 0.0986)
Hf (0.5000, 0.7882, 0.2118)
Hf (0.5000, 0.2118, 0.7882)
Hf (0.1526, 0.0986, 0.3256)
Hf (0.2910, 0.6028, 0.6028)
Hf (0.7090, 0.3972, 0.3972)
Ti (0.5000, 0.0000, 0.0000)
Al (0.0000, 0.6975, 0.3025)
Al (0.0000, 0.3025, 0.6975)

Output
The value obtained for the formation energy is 3.6 kJ per mole of atoms. The total moment comes out at 0.02 μB/atom. Its space group is C2/m, No. 12. For the density, the calculation gives 10.87 Mg/m³.